[1]
First-principles (PBE-GGA) data for ErVI after structural relaxation, as listed in Alexandria via LeMat-Bulk.

Summary:
The value obtained for the uncorrected formation energy is 4 kJ/mol of formula units. The value obtained for the total magnetization is 0.154 μB per atom. The density of states at the Fermi level is 3.27 states/eV/f.u. The total energy is -5.06 eV/atom. The value obtained for the volume is 24.9 A^3/atom.

Cell lengths 10.5736, 3.5938, 8.1091 Å; angles 90.00, 104.09, 90.00 degrees
With the nearest neighbours (Å) after each atom.
Space group C2/m (No. 12)
Unique sites:
Er  0.0807  0.0000  0.2065  5 V 3.10-3.18, 3 I 3.11-3.17, 1 Er 3.37
V  0.1680  0.5000  0.9435  2 V 2.51
I  0.1689  0.0000  0.6552  3 V 2.95-3.29, 3 Er 3.11-3.17

[2]
First-principles (PBE-GGA) data for RbMgAg2N after structural relaxation, as listed in Alexandria via LeMat-Bulk.

Summary:
The value obtained for the uncorrected formation energy is 188 kJ/mol of formula units. The value obtained for the total magnetization is 0.000 μB per atom. The density of states at the Fermi level is 1.89 states/eV/f.u. The total energy is -2.93 eV/atom. The value obtained for the volume is 22.4 A^3/atom.

Cell lengths 5.2514, 5.2514, 4.0552 Å; angles 90.00, 90.00, 90.00 degrees
With the nearest neighbours (Å) after each atom.
Space group P4/mmm (No. 123)
Unique sites:
Rb  0.0000  0.0000  0.0000  8 Ag 3.32, 4 Mg 3.71
Mg  0.5000  0.5000  0.0000  2 N 2.03
Ag  0.0000  0.5000  0.5000  2 N 2.63
N  0.5000  0.5000  0.5000  2 Mg 2.03

[3]
First-principles (PBE-GGA) data for ZrSc2Tc after structural relaxation, as listed in Alexandria via LeMat-Bulk.

Summary:
The value obtained for the total magnetization is 0.000 μB per atom. The value obtained for the formation energy is 60 meV/atom. The density of states at the Fermi level is 4.07 states/eV/f.u. The total energy is -7.83 eV/atom. The value obtained for the volume is 19.9 A^3/atom. The energy above the lowest structure with this stoichiometry comes out at 5.39 kcal/mol of atoms.

Cell lengths 2.9691, 4.6643, 5.7493 Å; angles 90.00, 90.00, 90.00 degrees
With the nearest neighbours (Å) after each atom.
Space group Pmmm (No. 47)
Unique sites:
Zr  0.0000  0.0000  0.0000  2 Tc 2.87, 2 Zr 2.97, 8 Sc 3.16
Sc  0.5000  0.5000  0.2660  3 Sc 2.69-2.97
Tc  0.0000  0.0000  0.5000  2 Zr 2.87, 2 Tc 2.97, 8 Sc 3.07

[4]
First-principles (PBE-GGA) data for Nd12InCu5 after structural relaxation, as listed in Alexandria via LeMat-Bulk.

Summary:
The value obtained for the total magnetization is 0.000 μB per atom. The value obtained for the formation energy is -133 meV/atom. The density of states at the Fermi level is 20.93 states/eV/f.u. The total energy is -4.60 eV/atom. The value obtained for the volume is 28.4 A^3/atom.

Cell lengths 9.6804, 10.0096, 10.5512 Å; angles 90.00, 90.00, 90.00 degrees
With the nearest neighbours (Å) after each atom.
Space group Immm (No. 71)
Unique sites:
Nd  0.0000  0.1888  0.2328  2 Cu 2.98-3.10
Nd  0.1960  0.5000  0.1792  3 Cu 2.86-3.03
Nd  0.2217  0.3200  0.5000  4 Cu 3.06-3.24
In  0.0000  0.0000  0.5000  8 Nd 3.39-3.50
Cu  0.0000  0.0000  0.0000  8 Nd 3.10-3.24
Cu  0.0000  0.3581  0.0000  1 Cu 2.84, 6 Nd 2.98-3.03
Cu  0.0000  0.5000  0.3824  1 Cu 2.48

[5]
First-principles (PBE-GGA) data for CsBa2Hg2 after structural relaxation, as listed in Alexandria via LeMat-Bulk.

Summary:
The value obtained for the total magnetization is 0.000 μB per atom. The value obtained for the formation energy is -229 meV/atom. The density of states at the Fermi level is 7.13 states/eV/f.u. The total energy is -1.29 eV/atom. The value obtained for the volume is 47.3 A^3/atom. The energy above the lowest structure with this stoichiometry comes out at 1.53 kcal/mol of atoms.

Cell lengths 6.2459, 6.2459, 12.1122 Å; angles 90.00, 90.00, 90.00 degrees
With the nearest neighbours (Å) after each atom.
Space group I4/mmm (No. 139)
Unique sites:
Cs  0.0000  0.0000  0.0000  8 Ba 4.35, 10 Hg 4.62-4.64
Ba  0.0000  0.5000  0.2500  4 Hg 3.51
Hg  0.0000  0.0000  0.3817  1 Hg 2.86

[6]
First-principles (PBE-GGA) data for NaPa3S6 after structural relaxation, as listed in Alexandria via LeMat-Bulk.

Summary:
The value obtained for the uncorrected formation energy is -1492 kJ/mol of formula units. The value obtained for the total magnetization is 0.329 μB per atom. The density of states at the Fermi level is 13.93 states/eV/f.u. The total energy is -7.00 eV/atom. The value obtained for the volume is 23.2 A^3/atom. The energy above the lowest structure with this stoichiometry comes out at 0.00 kcal/mol of atoms.

Cell lengths 10.5153, 12.9399, 6.8250 Å; angles 90.00, 90.00, 90.00 degrees
With the nearest neighbours (Å) after each atom.
Space group Cmc2_1 (No. 36)
Unique sites:
Na  0.0000  0.1811  0.0000  4 S 2.65-2.81
Pa  0.0000  0.4039  0.3884  7 S 2.71-2.82
Pa  0.1776  0.1013  0.4933  7 S 2.71-2.90
S  0.0000  0.0070  0.2459  4 Pa 2.80-2.90, 2 Na 2.81-2.99
S  0.0000  0.2361  0.6259  1 Na 2.65, 3 Pa 2.71
S  0.1655  0.4618  0.6872  4 Pa 2.78-2.82
S  0.1821  0.2735  0.2357  3 Pa 2.75-2.84, 1 Na 2.77

[7]
First-principles (PBE-GGA) data for MgTc2Ni2 after structural relaxation, as listed in Alexandria via LeMat-Bulk.

Summary:
The value obtained for the total magnetization is 0.000 μB per atom. The value obtained for the formation energy is 181 meV/atom. The density of states at the Fermi level is 4.74 states/eV/f.u. The total energy is -6.60 eV/atom. The value obtained for the volume is 14.1 A^3/atom. The energy above the lowest structure with this stoichiometry comes out at 0.00 kcal/mol of atoms.

Cell lengths 7.3163, 7.3163, 2.6249 Å; angles 90.00, 90.00, 90.00 degrees
With the nearest neighbours (Å) after each atom.
Space group P4/mbm (No. 127)
Unique sites:
Mg  0.0000  0.0000  0.0000  2 Mg 2.62, 4 Ni 2.93
Tc  0.1772  0.3228  0.5000  6 Ni 2.50-2.56, 2 Tc 2.62
Ni  0.1170  0.6170  0.0000  3 Ni 2.42-2.62, 6 Tc 2.50-2.56

[8]
First-principles (PBE-GGA) data for TaCdTc after structural relaxation, as listed in Alexandria via LeMat-Bulk.

Summary:
The value obtained for the total magnetization is 0.000 μB per atom. The value obtained for the formation energy is 185 meV/atom. The density of states at the Fermi level is 1.31 states/eV/f.u. The total energy is -7.53 eV/atom. The value obtained for the volume is 17.4 A^3/atom. The energy above the lowest structure with this stoichiometry comes out at 2.66 kcal/mol of atoms.

Cell lengths 4.6298, 4.6298, 2.8074 Å; angles 90.00, 90.00, 120.00 degrees
With the nearest neighbours (Å) after each atom.
Space group P3m1 (No. 156)
Unique sites:
Ta  0.0000  0.0000  0.0000  3 Tc 2.76, 2 Ta 2.81, 3 Cd 2.89
Cd  0.3333  0.6667  0.6100  2 Cd 2.81, 3 Tc 2.86, 3 Ta 2.89
Tc  0.6667  0.3333  0.2463  3 Ta 2.76, 2 Tc 2.81, 3 Cd 2.86

What is the formula in the eighth record? TaCdTc